<one>
VASP calculation (PBE-GGA) on crystalline Tl6TeS2 at its relaxed geometry.

The calculation puts the magnetic moment at 0.000 μB/cell.

It has space group C2/m (No. 12), with a = 13.627 Å, b = 4.927 Å, c = 10.016 Å, α = 90.00°, β = 106.67° and γ = 90.00°. The inequivalent atoms are Tl at (0.007, 0.000, 0.186), Tl at (0.144, 0.500, 0.005), Tl at (0.171, 0.500, 0.541), Te at (0.000, 0.000, 0.500) and S at (0.219, 0.000, 0.167).

***

<two>
VASP calculation (PBE-GGA) on crystalline Tl6TeS2 at its relaxed geometry.

The calculation puts the magnetic moment at 0.000 μB/cell.

It has space group C2/m (No. 12), with a = 17.436 Å, b = 4.375 Å, c = 8.336 Å, α = 90.00°, β = 96.80° and γ = 90.00°. The inequivalent atoms are Tl at (0.002, 0.000, 0.220), Tl at (0.163, 0.500, 0.091), Tl at (0.184, 0.500, 0.612), Te at (0.000, 0.500, 0.500) and S at (0.168, 0.000, 0.849).

***

Which structure above is the least stable? It is <one>.